Density functional theory data (PBE) for a relaxed structure of CaC4O4.

Cell and atoms, written as POSCAR:
```
CaC4O4
1.0
1.348 -6.982 -0.626
-6.762 -1.759 1.461
1.611 4.590 -5.224
O C Ca
8 8 2
Cartesian
-3.546 -6.870 -0.315
-2.880 -1.516 -3.669
-2.218 -1.801 -0.386
-4.418 -3.340 -0.869
-2.145 0.966 -2.810
0.699 -0.676 -3.533
1.039 1.885 -4.408
-1.742 -5.252 -1.566
0.445 -2.865 -2.766
-5.095 -8.226 0.786
1.202 -1.644 -2.882
-0.319 -0.516 0.049
-0.193 -3.897 -2.667
-4.338 -7.004 0.669
-0.950 -5.118 -2.550
-1.076 -1.737 0.166
-3.929 -0.770 -1.673
-2.707 -4.371 0.417
```

Total magnetization, μB per formula unit: 0.00
VASP energy, eV per atom: -7.67
Symmetry: I4_1/amd, No. 141
Raw formation energy, meV/atom: -1149

---

Density functional theory data (PBE) for a relaxed structure of Ca4CO7.

Cell and atoms, written as POSCAR:
```
Ca4CO7
1.0
4.479 0.000 0.000
2.239 6.183 0.333
2.239 0.707 6.061
O Ca C
7 4 1
Cartesian
4.479 3.797 4.816
2.239 5.035 0.625
6.718 1.855 5.769
2.239 0.000 0.000
6.718 5.626 3.407
4.479 3.094 1.577
2.239 1.265 2.987
4.479 1.732 3.653
6.718 4.669 5.419
4.479 5.158 2.741
2.239 2.221 0.974
0.000 0.000 0.000
```

Total magnetization, μB per formula unit: 2.02
VASP energy, eV per atom: -6.31
Symmetry: C2/m, No. 12
Raw formation energy, meV/atom: -1984

---

Density functional theory data (PBE) for a relaxed structure of CaCO2.

Cell and atoms, written as POSCAR:
```
CaCO2
1.0
-4.641 0.144 1.383
-3.505 -3.320 0.407
-2.470 -1.861 3.729
Ca O C
1 2 1
Cartesian
-5.308 -2.519 2.759
-9.555 -4.533 4.967
-1.062 -0.504 0.552
0.000 0.000 0.000
```

Total magnetization, μB per formula unit: 0.00
VASP energy, eV per atom: -6.05
Symmetry: R-3m, No. 166
Raw formation energy, meV/atom: -767

---

no.,D(E_F) (states/eV/cell)
1,0.000
2,7.070
3,0.556